The following is a DFT calculation (PBE) of a relaxed PH2 crystal.

Cell: 2.6029 6.7465 5.1658 Å, 90.00 117.34 90.00°
Atoms (fractional coordinates):
P (0.5000, 0.1973, 0.5000)
P (0.5000, 0.6973, 0.0000)
H (0.7029, 0.5501, 0.2243)
H (0.2971, 0.0501, 0.2757)
H (0.2971, 0.5501, 0.7757)
H (0.7029, 0.0501, 0.7243)


The following is a DFT calculation (PBE) of a relaxed PmYBiI crystal.

Cell: 5.5192 5.5192 5.5192 Å, 60.00 60.00 60.00°
Atoms (fractional coordinates):
Bi (0.5000, 0.5000, 0.5000)
I (0.0000, 0.0000, 0.0000)
Pm (0.7500, 0.7500, 0.7500)
Y (0.2500, 0.2500, 0.2500)

Summary:
- Uncorrected formation energy: -0.770 eV per atom


| no. | density (kg/m3) | VASP energy (eV per atom) |
| --- | --- | --- |
| 1 | 1360 | -3.98 |
| 2 | 7959 | -4.93 |